1.
# LiIn2CuCl6

LiIn2CuCl6 after structural relaxation (PBE, the Open Quantum Materials Database).

Geometry as CIF:
```
data_LiIn2CuCl6
_cell_length_a 6.8177
_cell_length_b 6.8177
_cell_length_c 6.8177
_cell_angle_alpha 60.00
_cell_angle_beta 60.00
_cell_angle_gamma 60.00
_space_group_name_H-M_alt 'P 1'
_space_group_IT_number 1
loop_
_space_group_symop_operation_xyz
'x,y,z'
loop_
_atom_site_label
_atom_site_type_symbol
_atom_site_fract_x
_atom_site_fract_y
_atom_site_fract_z
In1 In 0.2500 0.2500 0.2500
In2 In 0.7500 0.7500 0.7500
Cl1 Cl 0.2461 0.2461 0.7539
Cl2 Cl 0.2461 0.7539 0.2461
Cl3 Cl 0.7539 0.2461 0.2461
Cl4 Cl 0.2461 0.7539 0.7539
Cl5 Cl 0.7539 0.7539 0.2461
Cl6 Cl 0.7539 0.2461 0.7539
Li1 Li 0.5000 0.5000 0.5000
Cu1 Cu 0.0000 0.0000 0.0000
```

* volume: 224.1 Å³ per cell
* crystal system: cubic
* uncorrected energy: -29.7 eV/cell
* symmetry: Fm-3m (225)

***

2.
# In2CuNiCl6

In2CuNiCl6 after structural relaxation (PBE, the Open Quantum Materials Database).

Geometry as CIF:
```
data_In2CuNiCl6
_cell_length_a 6.7638
_cell_length_b 6.7638
_cell_length_c 6.7638
_cell_angle_alpha 60.00
_cell_angle_beta 60.00
_cell_angle_gamma 60.00
_space_group_name_H-M_alt 'P 1'
_space_group_IT_number 1
loop_
_space_group_symop_operation_xyz
'x,y,z'
loop_
_atom_site_label
_atom_site_type_symbol
_atom_site_fract_x
_atom_site_fract_y
_atom_site_fract_z
In1 In 0.7500 0.7500 0.7500
In2 In 0.2500 0.2500 0.2500
Cl1 Cl 0.2463 0.7537 0.2463
Cl2 Cl 0.2463 0.7537 0.7537
Cl3 Cl 0.7537 0.2463 0.2463
Cl4 Cl 0.2463 0.2463 0.7537
Cl5 Cl 0.7537 0.2463 0.7537
Cl6 Cl 0.7537 0.7537 0.2463
Cu1 Cu 0.5000 0.5000 0.5000
Ni1 Ni 0.0000 0.0000 0.0000
```

* volume: 218.8 Å³ per cell
* M_tot: 0.944 μB/f.u.
* crystal system: cubic
* uncorrected energy: -32.0 eV/cell
* symmetry: Fm-3m (225)

***

3.
# Rb2InCuCl6

Rb2InCuCl6 after structural relaxation (PBE, the Open Quantum Materials Database).

Geometry as CIF:
```
data_Rb2InCuCl6
_cell_length_a 7.1783
_cell_length_b 7.1783
_cell_length_c 7.1783
_cell_angle_alpha 119.99
_cell_angle_beta 119.99
_cell_angle_gamma 90.02
_space_group_name_H-M_alt 'P 1'
_space_group_IT_number 1
loop_
_space_group_symop_operation_xyz
'x,y,z'
loop_
_atom_site_label
_atom_site_type_symbol
_atom_site_fract_x
_atom_site_fract_y
_atom_site_fract_z
Cl1 Cl 0.7471 0.7471 0.4942
Cl2 Cl 0.2529 0.2529 0.5058
Cl3 Cl 0.2530 0.2530 0.0000
Cl4 Cl 0.7471 0.2529 0.0000
Cl5 Cl 0.7470 0.7470 0.0000
Cl6 Cl 0.2529 0.7471 0.0000
In1 In 0.0000 0.0000 0.0000
Rb1 Rb 0.2500 0.7500 0.5000
Rb2 Rb 0.7500 0.2500 0.5000
Cu1 Cu 0.5000 0.5000 0.0000
```

* volume: 261.6 Å³ per cell
* crystal system: cubic
* uncorrected energy: -32.6 eV/cell
* symmetry: Fm-3m (225)

***

4.
# Rb2InCuCl6

Rb2InCuCl6 after structural relaxation (PBE, the Open Quantum Materials Database).

Geometry as CIF:
```
data_Rb2InCuCl6
_cell_length_a 7.1655
_cell_length_b 7.1655
_cell_length_c 7.1655
_cell_angle_alpha 119.98
_cell_angle_beta 119.98
_cell_angle_gamma 60.02
_space_group_name_H-M_alt 'P 1'
_space_group_IT_number 1
loop_
_space_group_symop_operation_xyz
'x,y,z'
loop_
_atom_site_label
_atom_site_type_symbol
_atom_site_fract_x
_atom_site_fract_y
_atom_site_fract_z
Cu1 Cu 0.5000 0.5000 0.0000
Cl1 Cl 0.2541 0.7470 0.2469
Cl2 Cl 0.7470 0.2541 0.2469
Cl3 Cl 0.7464 0.7464 0.2454
Cl4 Cl 0.7459 0.2530 0.7531
Cl5 Cl 0.2530 0.7459 0.7531
Cl6 Cl 0.2536 0.2536 0.7546
Rb1 Rb 0.2501 0.2501 0.2500
Rb2 Rb 0.7499 0.7499 0.7500
In1 In 0.0000 0.0000 0.5000
```

* volume: 260.3 Å³ per cell
* crystal system: monoclinic
* uncorrected energy: -32.6 eV/cell
* symmetry: C2/m (12)

***

5.
# Rb2InCuCl6

Rb2InCuCl6 after structural relaxation (PBE, the Open Quantum Materials Database).

Geometry as CIF:
```
data_Rb2InCuCl6
_cell_length_a 7.1622
_cell_length_b 7.1622
_cell_length_c 7.1622
_cell_angle_alpha 60.39
_cell_angle_beta 60.39
_cell_angle_gamma 60.39
_space_group_name_H-M_alt 'P 1'
_space_group_IT_number 1
loop_
_space_group_symop_operation_xyz
'x,y,z'
loop_
_atom_site_label
_atom_site_type_symbol
_atom_site_fract_x
_atom_site_fract_y
_atom_site_fract_z
Rb1 Rb 0.2503 0.2503 0.2503
Rb2 Rb 0.7497 0.7497 0.7497
Cl1 Cl 0.2267 0.2790 0.7480
Cl2 Cl 0.7210 0.2520 0.7733
Cl3 Cl 0.2520 0.7733 0.7210
Cl4 Cl 0.7480 0.2267 0.2790
Cl5 Cl 0.7733 0.7210 0.2520
Cl6 Cl 0.2790 0.7480 0.2267
In1 In 0.0000 0.0000 0.0000
Cu1 Cu 0.5000 0.5000 0.5000
```

* volume: 262.1 Å³ per cell
* crystal system: trigonal
* uncorrected energy: -32.6 eV/cell
* symmetry: R-3 (148)

***

6.
# In2CuSnCl6

In2CuSnCl6 after structural relaxation (PBE, the Open Quantum Materials Database).

Geometry as CIF:
```
data_In2CuSnCl6
_cell_length_a 7.2118
_cell_length_b 7.2118
_cell_length_c 7.2118
_cell_angle_alpha 60.00
_cell_angle_beta 60.00
_cell_angle_gamma 60.00
_space_group_name_H-M_alt 'P 1'
_space_group_IT_number 1
loop_
_space_group_symop_operation_xyz
'x,y,z'
loop_
_atom_site_label
_atom_site_type_symbol
_atom_site_fract_x
_atom_site_fract_y
_atom_site_fract_z
In1 In 0.7500 0.7500 0.7500
In2 In 0.2500 0.2500 0.2500
Cu1 Cu 0.5000 0.5000 0.5000
Cl1 Cl 0.2603 0.2603 0.7397
Cl2 Cl 0.7397 0.7397 0.2603
Cl3 Cl 0.7397 0.2603 0.2603
Cl4 Cl 0.2603 0.7397 0.7397
Cl5 Cl 0.7397 0.2603 0.7397
Cl6 Cl 0.2603 0.7397 0.2603
Sn1 Sn 0.0000 0.0000 0.0000
```

* volume: 265.2 Å³ per cell
* crystal system: cubic
* uncorrected energy: -32.0 eV/cell
* symmetry: Fm-3m (225)

***

7.
# TlIn2CuCl6

TlIn2CuCl6 after structural relaxation (PBE, the Open Quantum Materials Database).

Geometry as CIF:
```
data_TlIn2CuCl6
_cell_length_a 7.2293
_cell_length_b 7.2293
_cell_length_c 7.2293
_cell_angle_alpha 60.00
_cell_angle_beta 60.00
_cell_angle_gamma 60.00
_space_group_name_H-M_alt 'P 1'
_space_group_IT_number 1
loop_
_space_group_symop_operation_xyz
'x,y,z'
loop_
_atom_site_label
_atom_site_type_symbol
_atom_site_fract_x
_atom_site_fract_y
_atom_site_fract_z
In1 In 0.2500 0.2500 0.2500
In2 In 0.7500 0.7500 0.7500
Cl1 Cl 0.2375 0.7625 0.2375
Cl2 Cl 0.2375 0.2375 0.7625
Cl3 Cl 0.2375 0.7625 0.7625
Cl4 Cl 0.7625 0.7625 0.2375
Cl5 Cl 0.7625 0.2375 0.7625
Cl6 Cl 0.7625 0.2375 0.2375
Tl1 Tl 0.5000 0.5000 0.5000
Cu1 Cu 0.0000 0.0000 0.0000
```

* volume: 267.2 Å³ per cell
* crystal system: cubic
* uncorrected energy: -29.4 eV/cell
* symmetry: Fm-3m (225)

***

8.
# ZrIn2CuCl6

ZrIn2CuCl6 after structural relaxation (PBE, the Open Quantum Materials Database).

Geometry as CIF:
```
data_ZrIn2CuCl6
_cell_length_a 7.1335
_cell_length_b 7.1335
_cell_length_c 7.1335
_cell_angle_alpha 60.00
_cell_angle_beta 60.00
_cell_angle_gamma 60.00
_space_group_name_H-M_alt 'P 1'
_space_group_IT_number 1
loop_
_space_group_symop_operation_xyz
'x,y,z'
loop_
_atom_site_label
_atom_site_type_symbol
_atom_site_fract_x
_atom_site_fract_y
_atom_site_fract_z
Cl1 Cl 0.7521 0.2479 0.2479
Cl2 Cl 0.2479 0.7521 0.2479
Cl3 Cl 0.7521 0.7521 0.2479
Cl4 Cl 0.7521 0.2479 0.7521
Cl5 Cl 0.2479 0.7521 0.7521
Cl6 Cl 0.2479 0.2479 0.7521
Zr1 Zr 0.5000 0.5000 0.5000
In1 In 0.2500 0.2500 0.2500
In2 In 0.7500 0.7500 0.7500
Cu1 Cu 0.0000 0.0000 0.0000
```

* volume: 256.7 Å³ per cell
* M_tot: 1.000 μB/f.u.
* crystal system: cubic
* uncorrected energy: -38.8 eV/cell
* symmetry: Fm-3m (225)

***

- What is the formula in the first record?
  LiIn2CuCl6

***

- Number 1 is which compound?
  LiIn2CuCl6